A relaxed structure of TaReAu. Source: Alexandria, functional PBE.

The structure in CIF format:
```
data_TaReAu
_cell_length_a 6.858
_cell_length_b 6.858
_cell_length_c 6.858
_cell_angle_alpha 156.71
_cell_angle_beta 156.71
_cell_angle_gamma 33.17
_symmetry_space_group_name_H-M 'P 1'
_symmetry_Int_Tables_number 1
_symmetry_space_group_name_Hall 'P 1'
loop_
_atom_site_label
_atom_site_type_symbol
_atom_site_fract_x
_atom_site_fract_y
_atom_site_fract_z
_atom_site_occupancy
Ta1 Ta 0.000 0.000 0.000 1
Re1 Re 0.666 0.666 0.000 1
Au1 Au 0.332 0.332 0.000 1
```

Summary:
raw total energy	-8.9525	eV/atom
density of states at the Fermi level	2.934	states/eV/f.u.
calculated density	18.60	g cm⁻³
E above lowest polymorph	0.111	eV/atom
formation enthalpy at 0 K	0.2402	eV/atom